DFT (PBE) results for La3GaCu3 after structural relaxation.

Cell: 5.7596 5.7596 13.9341 Å, 90.00 90.00 135.78°
Positions (direct):
La (0.0060, 0.9940, 0.7500)
La (0.2899, 0.7101, 0.6010)
La (0.2899, 0.7101, 0.8990)
La (0.7101, 0.2899, 0.1010)
La (0.7101, 0.2899, 0.3990)
La (0.9940, 0.0060, 0.2500)
Ga (0.0000, 0.0000, 0.0000)
Ga (0.0000, 0.0000, 0.5000)
Cu (0.2951, 0.7049, 0.2500)
Cu (0.4262, 0.5738, 0.0908)
Cu (0.4262, 0.5738, 0.4092)
Cu (0.5738, 0.4262, 0.5908)
Cu (0.5738, 0.4262, 0.9092)
Cu (0.7049, 0.2951, 0.7500)

Results
Space-group type: Cmcm (63)
E_tot, eV/cell: -64.31

---

DFT (PBE) results for La4GaCu2 after structural relaxation.

Cell: 8.8292 8.8292 8.8292 Å, 34.11 34.11 34.11°
Positions (direct):
La (0.1182, 0.1182, 0.1182)
La (0.3719, 0.3719, 0.3719)
La (0.6281, 0.6281, 0.6281)
La (0.8818, 0.8818, 0.8818)
Ga (0.5000, 0.5000, 0.5000)
Cu (0.2440, 0.2440, 0.2440)
Cu (0.7560, 0.7560, 0.7560)

Results
Space-group type: R-3m (166)
E_tot, eV/cell: -32.16